1.
Entry from OQMD via LeMat-Bulk: crystalline CsNdTeO at its relaxed geometry (PBE).

Calculated values
Magnetic moment: 0.00 μB per cell
Energy relative to the lowest polymorph listed for this composition: 269.9 meV/atom
Volume: 229.7 Å³/cell
Crystal system: tetragonal

POSCAR file:
```
CsNdTeO
1.0
4.567 0.000 0.000
0.000 4.567 0.000
0.000 0.000 11.012
Cs Nd Te O
2 2 2 2
Direct
0.250 0.750 0.000
0.750 0.250 0.000
0.250 0.250 0.421
0.750 0.750 0.579
0.250 0.250 0.749
0.750 0.750 0.251
0.250 0.750 0.500
0.750 0.250 0.500
```

---

2.
Entry from OQMD via LeMat-Bulk: crystalline Cs3NdP2S8 at its relaxed geometry (PBE).

Calculated values
Magnetic moment: 0.01 μB per cell
Volume: 1690.5 Å³/cell
E_tot: -4.751 eV per atom
Crystal system: monoclinic

POSCAR file:
```
Cs3NdP2S8
1.0
15.599 0.000 0.000
0.000 6.999 0.000
-13.070 0.000 15.484
Cs Nd P S
12 4 8 32
Direct
0.062 0.248 0.110
0.062 0.252 0.610
0.155 0.242 0.378
0.155 0.258 0.878
0.418 0.745 0.525
0.418 0.755 0.025
0.582 0.245 0.975
0.582 0.255 0.475
0.845 0.742 0.122
0.845 0.758 0.622
0.938 0.748 0.390
0.938 0.752 0.890
0.351 0.731 0.729
0.351 0.769 0.229
0.649 0.231 0.771
0.649 0.269 0.271
0.193 0.745 0.277
0.193 0.755 0.777
0.345 0.227 0.128
0.345 0.273 0.628
0.655 0.727 0.372
0.655 0.773 0.872
0.807 0.245 0.223
0.807 0.255 0.723
0.093 0.750 0.144
0.093 0.750 0.644
0.115 0.739 0.326
0.115 0.761 0.826
0.239 0.505 0.570
0.239 0.995 0.070
0.251 0.030 0.594
0.251 0.470 0.094
0.292 0.514 0.817
0.292 0.986 0.317
0.296 0.512 0.314
0.296 0.988 0.814
0.442 0.250 0.092
0.442 0.250 0.592
0.455 0.167 0.259
0.455 0.333 0.759
0.545 0.667 0.241
0.545 0.833 0.741
0.558 0.750 0.408
0.558 0.750 0.908
0.704 0.012 0.186
0.704 0.488 0.686
0.708 0.014 0.683
0.708 0.486 0.183
0.749 0.530 0.906
0.749 0.970 0.406
0.761 0.005 0.930
0.761 0.495 0.430
0.885 0.239 0.174
0.885 0.261 0.674
0.907 0.250 0.356
0.907 0.250 0.856
```

---

3.
Entry from OQMD via LeMat-Bulk: crystalline Cs2Nd2Pb at its relaxed geometry (PBE).

Calculated values
Magnetic moment: 5.87 μB per cell
Volume: 515.0 Å³/cell
E_tot: -2.422 eV per atom
Crystal system: hexagonal

POSCAR file:
```
Cs2Nd2Pb
1.0
6.056 0.000 0.000
-3.028 5.245 0.000
0.000 0.000 16.215
Cs Nd Pb
4 4 2
Direct
0.000 0.000 0.000
0.000 0.000 0.500
0.333 0.667 0.250
0.667 0.333 0.750
0.333 0.667 0.657
0.333 0.667 0.843
0.667 0.333 0.157
0.667 0.333 0.343
0.000 0.000 0.250
0.000 0.000 0.750
```

---

4.
Entry from OQMD via LeMat-Bulk: crystalline CsNdPdS3 at its relaxed geometry (PBE).

Calculated values
Magnetic moment: 0.04 μB per cell
Volume: 350.0 Å³/cell
E_tot: -5.042 eV per atom
Crystal system: orthorhombic

POSCAR file:
```
CsNdPdS3
1.0
2.090 -8.027 0.000
2.090 8.027 0.000
0.000 0.000 10.433
Cs Nd Pd S
2 2 2 6
Direct
0.249 0.751 0.750
0.751 0.249 0.250
0.500 0.500 0.000
0.500 0.500 0.500
0.009 0.991 0.250
0.991 0.009 0.750
0.109 0.891 0.079
0.109 0.891 0.421
0.428 0.572 0.250
0.572 0.428 0.750
0.891 0.109 0.579
0.891 0.109 0.921
```

---

5.
Entry from OQMD via LeMat-Bulk: crystalline CsNdTe3Pd at its relaxed geometry (PBE).

Calculated values
Magnetic moment: 0.00 μB per cell
Volume: 444.7 Å³/cell
E_tot: -4.367 eV per atom
Crystal system: orthorhombic

POSCAR file:
```
CsNdTe3Pd
1.0
2.281 -9.447 0.000
2.281 9.447 0.000
0.000 0.000 10.320
Cs Nd Te Pd
2 2 6 2
Direct
0.249 0.751 0.750
0.751 0.249 0.250
0.000 0.000 0.000
0.000 0.000 0.500
0.093 0.907 0.250
0.393 0.607 0.094
0.393 0.607 0.406
0.607 0.393 0.594
0.607 0.393 0.906
0.907 0.093 0.750
0.493 0.507 0.750
0.507 0.493 0.250
```

---

6.
Entry from OQMD via LeMat-Bulk: crystalline CsPmNd at its relaxed geometry (PBE).

Calculated values
Magnetic moment: 4.48 μB per cell
Volume: 165.8 Å³/cell
E_tot: -2.272 eV per atom
Crystal system: cubic

POSCAR file:
```
CsPmNd
1.0
0.000 4.361 4.361
4.361 0.000 4.361
4.361 4.361 0.000
Cs Pm Nd
1 1 1
Direct
0.000 0.000 0.000
0.250 0.250 0.250
0.500 0.500 0.500
```

---

7.
Entry from OQMD via LeMat-Bulk: crystalline CsPrNd at its relaxed geometry (PBE).

Calculated values
Magnetic moment: 4.71 μB per cell
Volume: 167.7 Å³/cell
E_tot: -2.319 eV per atom
Crystal system: cubic

POSCAR file:
```
CsPrNd
1.0
0.000 4.377 4.377
4.377 0.000 4.377
4.377 4.377 0.000
Cs Pr Nd
1 1 1
Direct
0.000 0.000 0.000
0.250 0.250 0.250
0.500 0.500 0.500
```

---

8.
Entry from OQMD via LeMat-Bulk: crystalline CsNdPt at its relaxed geometry (PBE).

Calculated values
Magnetic moment: 0.00 μB per cell
Volume: 101.2 Å³/cell
E_tot: -3.848 eV per atom
Crystal system: cubic

POSCAR file:
```
CsNdPt
1.0
0.000 3.699 3.699
3.699 0.000 3.699
3.699 3.699 0.000
Cs Nd Pt
1 1 1
Direct
0.000 0.000 0.000
0.500 0.500 0.500
0.250 0.250 0.250
```